(1)
Computed, not measured: KRbAs2O after structural relaxation at the PBE level of DFT.

Unit cell a=5.827 b=9.059 c=5.827 alpha=90.00 beta=90.00 gamma=90.00
Site moments in Bohr magnetons follow the coordinates.
Element x y z (fractional)
1 As 0.500 0.000 0.000  0.49
2 As 0.000 0.000 0.500  0.64
3 K 0.000 0.000 0.000  0.05
4 Rb 0.000 0.500 0.000  0.00
5 O 0.500 0.500 0.500  0.96

Summary:
E_form (uncorrected): 1048 meV/atom
density of states at the Fermi level: 5.95 states/eV/cell


(2)
Computed, not measured: KRb3As2O6 after structural relaxation at the PBE level of DFT.

Unit cell a=6.462 b=6.462 c=7.562 alpha=90.00 beta=90.00 gamma=120.00
Site moments in Bohr magnetons follow the coordinates.
Element x y z (fractional)
1 O 0.813 0.626 0.723  0.17
2 O 0.187 0.374 0.277  0.17
3 O 0.187 0.813 0.277  0.17
4 O 0.626 0.813 0.277  0.17
5 O 0.374 0.187 0.723  0.17
6 O 0.813 0.187 0.723  0.17
7 Rb 0.667 0.333 0.334  0.01
8 Rb 0.333 0.667 0.666  0.01
9 Rb 0.000 0.000 0.000  0.00
10 As 0.667 0.333 0.798  0.17
11 As 0.333 0.667 0.202  0.17
12 K 0.000 0.000 0.500  0.01

Summary:
E_form (uncorrected): -1477 meV/atom
density of states at the Fermi level: 1.71 states/eV/cell


(3)
Computed, not measured: K2Rb2AsO4 after structural relaxation at the PBE level of DFT.

Unit cell a=6.229 b=6.229 c=6.229 alpha=92.36 beta=118.64 gamma=118.64
Site moments in Bohr magnetons follow the coordinates.
Element x y z (fractional)
1 As 0.000 0.000 0.000  0.11
2 K 0.000 0.655 0.655  0.02
3 K 0.000 0.345 0.345  0.02
4 O 0.000 0.788 0.212  0.10
5 O 0.000 0.212 0.788  0.10
6 O 0.425 0.212 0.212  0.10
7 O 0.575 0.788 0.788  0.10
8 Rb 0.500 0.750 0.250  0.00
9 Rb 0.500 0.250 0.750  0.00

Summary:
E_form (uncorrected): -985 meV/atom
density of states at the Fermi level: 2.62 states/eV/cell


(4)
Computed, not measured: KRb2As2O6 after structural relaxation at the PBE level of DFT.

Unit cell a=6.444 b=6.495 c=7.512 alpha=117.33 beta=90.00 gamma=119.74
Site moments in Bohr magnetons follow the coordinates.
Element x y z (fractional)
1 O 0.176 0.905 0.199  0.11
2 O 0.210 0.420 0.346  0.10
3 O 0.271 0.095 0.801  0.11
4 O 0.729 0.905 0.199  0.11
5 O 0.824 0.095 0.801  0.11
6 O 0.790 0.580 0.654  0.10
7 Rb 0.706 0.411 0.187  0.00
8 Rb 0.294 0.589 0.813  0.00
9 As 0.967 0.933 0.801  0.06
10 As 0.033 0.067 0.199  0.06
11 K 0.500 0.000 0.500  0.01

Summary:
E_form (uncorrected): -1450 meV/atom
density of states at the Fermi level: 0.92 states/eV/cell


(5)
Computed, not measured: KAsRhO6 after structural relaxation at the PBE level of DFT.

Unit cell a=5.095 b=5.095 c=6.095 alpha=90.00 beta=90.00 gamma=60.00
Site moments in Bohr magnetons follow the coordinates.
Element x y z (fractional)
1 O 0.392 0.987 0.677  0.13
2 O 0.621 0.987 0.323  0.13
3 O 0.392 0.621 0.323  0.13
4 O 0.621 0.392 0.677  0.13
5 O 0.987 0.621 0.677  0.13
6 O 0.987 0.392 0.323  0.13
7 As 0.667 0.667 0.500  0.00
8 Rh 0.333 0.333 0.500  0.82
9 K 0.000 0.000 0.000  0.00

Summary:
E_form (uncorrected): -977 meV/atom
density of states at the Fermi level: 5.66 states/eV/cell


(6)
Computed, not measured: KAsRuO6 after structural relaxation at the PBE level of DFT.

Unit cell a=5.145 b=5.146 c=5.981 alpha=90.00 beta=90.00 gamma=59.99
Element x y z (fractional)
1 O 0.579 0.006 0.314
2 O 0.415 0.579 0.314
3 O 0.006 0.579 0.686
4 O 0.415 0.006 0.686
5 O 0.579 0.415 0.686
6 O 0.006 0.415 0.314
7 Ru 0.667 0.667 0.500
8 As 0.333 0.333 0.500
9 K 0.000 0.000 0.000

Summary:
E_form (uncorrected): -1156 meV/atom
density of states at the Fermi level: 0.90 states/eV/cell


(7)
Computed, not measured: KAs2RuO8 after structural relaxation at the PBE level of DFT.

Unit cell a=5.455 b=5.455 c=9.301 alpha=72.95 beta=72.95 gamma=60.00
Site moments in Bohr magnetons follow the coordinates.
Element x y z (fractional)
1 O 0.399 0.373 0.361  0.13
2 O 0.298 0.298 0.107  0.01
3 O 0.868 0.399 0.361  0.13
4 O 0.373 0.868 0.361  0.13
5 O 0.702 0.702 0.893  0.01
6 O 0.132 0.627 0.639  0.13
7 O 0.627 0.601 0.639  0.13
8 O 0.601 0.132 0.639  0.13
9 K 0.000 0.000 0.000  0.00
10 As 0.234 0.234 0.297  0.01
11 As 0.766 0.766 0.703  0.01
12 Ru 0.500 0.500 0.500  1.85

Summary:
E_form (uncorrected): -1039 meV/atom
density of states at the Fermi level: 3.18 states/eV/cell


(8)
Computed, not measured: KAsS2O after structural relaxation at the PBE level of DFT.

Unit cell a=5.443 b=4.057 c=5.443 alpha=90.00 beta=90.00 gamma=90.00
Site moments in Bohr magnetons follow the coordinates.
Element x y z (fractional)
1 As 0.500 0.500 0.500  -0.39
2 K 0.000 0.000 0.000  0.04
3 S 0.000 0.000 0.500  0.61
4 S 0.500 0.000 0.000  0.41
5 O 0.000 0.500 0.000  0.28

Summary:
E_form (uncorrected): 1311 meV/atom
density of states at the Fermi level: 4.72 states/eV/cell


(9)
Computed, not measured: KAsS2O8 after structural relaxation at the PBE level of DFT.

Unit cell a=5.392 b=5.392 c=7.121 alpha=67.10 beta=67.75 gamma=60.00
Element x y z (fractional)
1 O 0.641 0.637 0.082
2 O 0.107 0.555 0.230
3 O 0.107 0.100 0.230
4 O 0.893 0.900 0.770
5 O 0.893 0.445 0.770
6 O 0.438 0.900 0.770
7 O 0.359 0.363 0.918
8 O 0.562 0.100 0.230
9 S 0.286 0.283 0.145
10 S 0.714 0.717 0.855
11 K 0.500 0.500 0.500
12 As 0.000 0.000 0.000

Summary:
E_form (uncorrected): -1332 meV/atom
density of states at the Fermi level: 0.00 states/eV/cell


(10)
Computed, not measured: K2SbAs2O6 after structural relaxation at the PBE level of DFT.

Unit cell a=5.875 b=5.402 c=7.122 alpha=106.08 beta=90.00 gamma=122.94
Element x y z (fractional)
1 O 0.781 0.050 0.733
2 O 0.219 0.950 0.267
3 O 0.268 0.050 0.733
4 O 0.255 0.511 0.473
5 O 0.732 0.950 0.267
6 O 0.745 0.489 0.527
7 As 0.905 0.809 0.753
8 As 0.095 0.191 0.247
9 K 0.299 0.599 0.871
10 K 0.701 0.401 0.129
11 Sb 0.500 0.000 0.500

Summary:
E_form (uncorrected): -1362 meV/atom
density of states at the Fermi level: 5.37 states/eV/cell


(11)
Computed, not measured: KSbAsO6 after structural relaxation at the PBE level of DFT.

Unit cell a=5.166 b=5.166 c=6.112 alpha=90.00 beta=90.00 gamma=60.00
Site moments in Bohr magnetons follow the coordinates.
Element x y z (fractional)
1 Sb 0.667 0.667 0.500  -0.01
2 As 0.333 0.333 0.500  -0.02
3 O 0.367 0.022 0.676  0.15
4 O 0.611 0.022 0.324  0.15
5 O 0.022 0.367 0.324  0.15
6 O 0.611 0.367 0.676  0.15
7 O 0.022 0.611 0.676  0.15
8 O 0.367 0.611 0.324  0.15
9 K 0.000 0.000 0.000  0.00

Summary:
E_form (uncorrected): -1252 meV/atom
density of states at the Fermi level: 7.94 states/eV/cell


(12)
Computed, not measured: KSbAs2O8 after structural relaxation at the PBE level of DFT.

Unit cell a=5.000 b=5.000 c=9.720 alpha=75.10 beta=75.10 gamma=60.00
Element x y z (fractional)
1 O 0.704 0.704 0.888
2 O 0.130 0.746 0.641
3 O 0.296 0.296 0.112
4 O 0.746 0.484 0.641
5 O 0.484 0.130 0.641
6 O 0.516 0.254 0.359
7 O 0.254 0.870 0.359
8 O 0.870 0.516 0.359
9 As 0.764 0.764 0.709
10 As 0.236 0.236 0.291
11 K 0.000 0.000 0.000
12 Sb 0.500 0.500 0.500

Summary:
E_form (uncorrected): -1282 meV/atom
density of states at the Fermi level: 0.00 states/eV/cell


Question: What is the E_form (uncorrected) in the sixth record?
Answer: -1156 meV/atom